No. 1
! PBE-GGA PmScAg, optimized geometry; values from VASP
! formation energy	436	meV/atom
! excess energy over the best structure of this formula in the dataset	0.000	eV per atom
&SYSTEM
  ibrav = 0, nat = 3, ntyp = 3
/
ATOMIC_SPECIES
Ag 107.87 Ag.upf
Pm 145.00 Pm.upf
Sc 44.96 Sc.upf
ATOMIC_POSITIONS angstrom
Ag -0.7792 2.7084 0.8359
Pm -2.3375 8.1251 2.5076
Sc 0.0000 0.0000 0.0000
CELL_PARAMETERS angstrom
0.2730 3.2437 3.5280
0.3214 4.6720 -1.0547
-3.7111 2.9178 0.8702

No. 2
! PBE-GGA SmGdMg4, optimized geometry; values from VASP
! E_tot	-2.674	eV per atom
&SYSTEM
  ibrav = 0, nat = 6, ntyp = 3
/
ATOMIC_SPECIES
Gd 157.25 Gd.upf
Mg 24.30 Mg.upf
Sm 150.36 Sm.upf
ATOMIC_POSITIONS angstrom
Gd 2.0760 -0.0009 4.0481
Mg 0.7086 -1.6591 1.3419
Mg -0.9717 1.6219 3.9118
Mg -0.9398 -1.6807 3.8947
Mg 0.7405 -4.9621 1.3249
Sm -2.3398 -0.0288 1.2043
CELL_PARAMETERS angstrom
4.4518 -3.2824 2.8345
-0.2953 3.2806 5.2704
-4.3879 -3.3382 -2.8687

No. 3
! PBE-GGA GdDy2Zn3InGa2, optimized geometry; values from VASP
! E_tot	-3.451	eV per atom
&SYSTEM
  ibrav = 0, nat = 9, ntyp = 5
/
ATOMIC_SPECIES
Dy 162.50 Dy.upf
Ga 69.72 Ga.upf
Gd 157.25 Gd.upf
In 114.82 In.upf
Zn 65.41 Zn.upf
ATOMIC_POSITIONS angstrom
Dy 0.0000 3.4153 1.9707
Dy 0.0000 -3.4153 1.9707
Ga 2.1980 2.0524 3.5282
Ga 2.1980 -2.0524 3.5282
Gd 0.0000 0.0000 3.1168
In 0.0000 0.0000 7.0424
Zn 2.1980 4.5671 4.4217
Zn 2.1980 0.0000 5.2648
Zn 2.1980 -4.5671 4.4217
CELL_PARAMETERS angstrom
4.3959 0.0000 0.0000
0.0000 6.1231 3.5265
0.0000 -6.1231 3.5265

No. 4
! PBE-GGA Pt4C3, optimized geometry; values from VASP
! E_tot	-6.326	eV per atom
&SYSTEM
  ibrav = 0, nat = 7, ntyp = 2
/
ATOMIC_SPECIES
C 12.01 C.upf
Pt 195.08 Pt.upf
ATOMIC_POSITIONS angstrom
C 0.1406 11.6379 6.5742
C 0.1883 15.5914 8.8075
C 0.3299 27.3150 15.4301
Pt 0.0429 3.5477 2.0041
Pt 0.0974 8.0642 4.5554
Pt 0.2393 19.8102 11.1906
Pt 0.2891 23.9372 13.5220
CELL_PARAMETERS angstrom
-1.6730 9.2455 5.1380
0.9391 8.4072 6.5661
1.0669 9.9259 3.8749